Record 1
Computed, not measured: a geometry-optimized TaNi2Au structure at the PBE-GGA level of DFT.

Summary:
- DFT total energy: -6.84 eV per atom
- V: 56.7 Å³ per cell

a = 4.842 Å, b = 4.842 Å, c = 4.842 Å
α = 134.60°, β = 134.60°, γ = 66.15°
Positions (direct):
Ta  0.000  0.000  0.000
Ni  0.500  0.500  0.000
Ni  0.750  0.250  0.500
Au  0.250  0.750  0.500

***

Record 2
Computed, not measured: a geometry-optimized TaNiAu2 structure at the PBE-GGA level of DFT.

Summary:
- DFT total energy: -6.00 eV per atom
- V: 64.7 Å³ per cell

a = 4.955 Å, b = 4.955 Å, c = 4.838 Å
α = 99.99°, β = 99.99°, γ = 33.61°
Positions (direct):
Ta  0.000  0.000  0.000
Ni  0.500  0.500  0.500
Au  0.246  0.246  0.746
Au  0.754  0.754  0.254

***

Record 3
Computed, not measured: a geometry-optimized TaNi2Au structure at the PBE-GGA level of DFT.

Summary:
- DFT total energy: -6.77 eV per atom
- V: 58.0 Å³ per cell

a = 2.848 Å, b = 2.848 Å, c = 7.159 Å
α = 90.00°, β = 90.00°, γ = 90.00°
Positions (direct):
Ta  0.000  0.000  0.000
Ni  0.500  0.500  0.242
Ni  0.500  0.500  0.758
Au  0.000  0.000  0.500

***

The highest V belongs to which entry?
TaNiAu2